(a)
DFT (SCAN) results for a PBEsol-optimized structure of LiHBr2.

Lattice parameters (Å, degrees): 5.515 5.515 9.957 90.00 90.00 90.00
Atoms (fractional coordinates):
Li  0.000  0.000  0.000
Li  0.000  0.500  0.250
Li  0.500  0.000  0.750
Li  0.500  0.500  0.500
H  0.000  0.000  0.500
H  0.000  0.500  0.750
H  0.500  0.000  0.250
H  0.500  0.500  0.000
Br  0.193  0.250  0.625
Br  0.250  0.693  0.875
Br  0.250  0.807  0.375
Br  0.307  0.250  0.125
Br  0.693  0.750  0.125
Br  0.750  0.193  0.375
Br  0.750  0.307  0.875
Br  0.807  0.750  0.625

## Properties
- total magnetization (μB per formula unit) = 0.0

(b)
DFT (SCAN) results for a PBEsol-optimized structure of LiHBr2.

Lattice parameters (Å, degrees): 4.038 4.038 18.546 90.00 90.00 120.00
Atoms (fractional coordinates):
Li  0.000  0.000  0.000
Li  0.333  0.667  0.667
Li  0.667  0.333  0.333
H  0.000  0.000  0.500
H  0.333  0.667  0.167
H  0.667  0.333  0.833
Br  0.000  0.000  0.408
Br  0.000  0.000  0.592
Br  0.333  0.667  0.075
Br  0.333  0.667  0.258
Br  0.667  0.333  0.742
Br  0.667  0.333  0.925

## Properties
- total magnetization (μB per formula unit) = 0.0

Result of the stability comparison: (a) is the least stable of them.